Record 1
The following is a DFT calculation (SCAN) of a PBEsol-optimized structure of CaAl.

```
CaAl
1.0
11.5573 0.0000 0.0000
0.0000 3.2710 0.0000
-1.7069 0.0000 5.3029
Ca Al
4 4
direct
0.0972 0.0000 0.3185
0.4028 0.5000 0.6815
0.5972 0.5000 0.3185
0.9028 0.0000 0.6815
0.1604 0.5000 0.8537
0.3396 0.0000 0.1463
0.6604 0.0000 0.8537
0.8396 0.5000 0.1463
```

Results
Crystal system: monoclinic
Calculated formation energy, eV/atom: -0.164
VASP energy, eV per atom: -8.871



Record 2
The following is a DFT calculation (SCAN) of a PBEsol-optimized structure of Ca4Al.

```
Ca4Al
1.0
4.3538 0.0000 0.0000
0.0000 4.3538 0.0000
0.0000 0.0000 18.9761
Ca Al
8 2
direct
0.0000 0.0000 0.0863
0.0000 0.0000 0.9137
0.0000 0.5000 0.2500
0.0000 0.5000 0.7500
0.5000 0.0000 0.2500
0.5000 0.0000 0.7500
0.5000 0.5000 0.4137
0.5000 0.5000 0.5863
0.0000 0.0000 0.5000
0.5000 0.5000 0.0000
```

Results
Crystal system: tetragonal
Calculated formation energy, eV/atom: 0.369
VASP energy, eV per atom: -8.912



Record 3
The following is a DFT calculation (SCAN) of a PBEsol-optimized structure of Ca3Al.

```
Ca3Al
1.0
3.8338 0.0000 0.0000
0.0000 5.6886 0.0000
0.0000 0.0000 11.8652
Ca Al
6 2
direct
0.0000 0.0000 0.0000
0.0000 0.5000 0.2082
0.0000 0.5000 0.7918
0.5000 0.0000 0.2918
0.5000 0.0000 0.7082
0.5000 0.5000 0.5000
0.0000 0.0000 0.5000
0.5000 0.5000 0.0000
```

Results
Crystal system: orthorhombic
Calculated formation energy, eV/atom: -0.041
VASP energy, eV per atom: -9.227



Record 4
The following is a DFT calculation (SCAN) of a PBEsol-optimized structure of Ca3Al4.

```
Ca3Al4
1.0
3.4252 0.0000 0.0000
0.0000 3.4252 0.0000
0.0000 0.0000 28.8275
Ca Al
6 8
direct
0.0000 0.0000 0.0000
0.0000 0.0000 0.3048
0.0000 0.0000 0.6952
0.5000 0.5000 0.1952
0.5000 0.5000 0.5000
0.5000 0.5000 0.8048
0.0000 0.0000 0.1222
0.0000 0.0000 0.4245
0.0000 0.0000 0.5755
0.0000 0.0000 0.8778
0.5000 0.5000 0.0755
0.5000 0.5000 0.3778
0.5000 0.5000 0.6222
0.5000 0.5000 0.9245
```

Results
Crystal system: tetragonal
Calculated formation energy, eV/atom: -0.103
VASP energy, eV per atom: -8.674